Record 1
Computed, not measured: a relaxed Cu2ReIr crystal at the GGA-PBE level of DFT.

Fermi-level density of states: 1.016 states/eV per atom
energy relative to the lowest polymorph listed for this composition: 123 meV/atom
space-group type: C2/m (12)
energy of formation: 0.187 eV/atom

Cell lengths 4.6248, 4.6248, 4.6222 Å; angles 80.33, 80.33, 34.02 degrees
Closest atoms and distances in Å follow each position.
Element x y z (fractional)
Cu (0.4996, 0.4996, 0.5020)  6 Cu 2.66-2.71, 3 Re 2.67, 3 Ir 2.67-2.68
Ir (0.2500, 0.2500, 0.2500)  6 Cu 2.67-2.68, 4 Re 2.68, 2 Ir 2.71
Re (0.7500, 0.7500, 0.7500)  6 Cu 2.67, 4 Ir 2.68, 2 Re 2.71
Cu (0.0004, 0.0004, 0.9980)  6 Cu 2.66-2.71, 3 Re 2.67, 3 Ir 2.67-2.68

Record 2
Computed, not measured: a relaxed Cu2ReIr crystal at the GGA-PBE level of DFT.

Fermi-level density of states: 0.579 states/eV per atom
energy relative to the lowest polymorph listed for this composition: 56 meV/atom
space-group type: Cm (8)
energy of formation: 0.120 eV/atom

Cell lengths 4.5999, 4.5999, 4.6447 Å; angles 81.42, 81.42, 34.09 degrees
Closest atoms and distances in Å follow each position.
Element x y z (fractional)
Cu (0.9991, 0.9991, 0.0249)  5 Cu 2.51-2.70, 4 Ir 2.68-2.69, 3 Re 2.75-2.78
Re (0.7522, 0.7522, 0.7258)  3 Ir 2.54-2.61, 7 Cu 2.68-2.78, 2 Re 2.70
Ir (0.4998, 0.4998, 0.5252)  3 Re 2.54-2.61, 7 Cu 2.68-2.79, 2 Ir 2.70
Cu (0.2489, 0.2489, 0.2242)  5 Cu 2.51-2.70, 4 Re 2.68-2.70, 3 Ir 2.76-2.79